Entry 1:
This record from Alexandria via LeMat-Bulk describes TmGa2Rh after structural relaxation. The functional is PBE.

The structure in CIF format:
```
data_TmGa2Rh
_chemical_formula_sum 'Tm4 Ga8 Rh4'
_cell_length_a 6.523
_cell_length_b 4.313
_cell_length_c 10.251
_cell_angle_alpha 90.00
_cell_angle_beta 90.00
_cell_angle_gamma 90.00
_symmetry_space_group_name_H-M 'P n m a'
_symmetry_Int_Tables_number 62
_symmetry_space_group_name_Hall '-P 2ac 2n'
loop_
_atom_site_label
_atom_site_type_symbol
_atom_site_fract_x
_atom_site_fract_y
_atom_site_fract_z
_atom_site_occupancy
Tm1 Tm 0.238 0.250 0.162 1
Ga1 Ga 0.063 0.750 0.343 1
Ga2 Ga 0.238 0.250 0.454 1
Rh1 Rh 0.050 0.250 0.898 1
```

Output
**ΔE_f**: -0.759 eV per atom
**Volume**: 288 Å³/cell



Entry 2:
This record from Alexandria via LeMat-Bulk describes BaCaDySbO6 after structural relaxation. The functional is PBE.

The structure in CIF format:
```
data_BaCaDySbO6
_chemical_formula_sum 'Ba4 Ca4 Dy4 Sb4 O24'
_cell_length_a 8.422
_cell_length_b 8.422
_cell_length_c 8.422
_cell_angle_alpha 90.00
_cell_angle_beta 90.00
_cell_angle_gamma 90.00
_symmetry_space_group_name_H-M 'F -4 3 m'
_symmetry_Int_Tables_number 216
_symmetry_space_group_name_Hall 'F -4 2 3'
loop_
_atom_site_label
_atom_site_type_symbol
_atom_site_fract_x
_atom_site_fract_y
_atom_site_fract_z
_atom_site_occupancy
Ba1 Ba 0.000 0.000 0.000 1
Ca1 Ca 0.000 0.000 0.500 1
Dy1 Dy 0.250 0.250 0.750 1
Sb1 Sb 0.250 0.250 0.250 1
O1 O 0.013 0.250 0.250 1
```

Output
**Volume**: 597 Å³/cell



Entry 3:
This record from Alexandria via LeMat-Bulk describes SrP3Ru after structural relaxation. The functional is PBE.

The structure in CIF format:
```
data_SrP3Ru
_chemical_formula_sum 'Sr1 P3 Ru1'
_cell_length_a 5.167
_cell_length_b 5.167
_cell_length_c 5.167
_cell_angle_alpha 90.00
_cell_angle_beta 90.00
_cell_angle_gamma 90.00
_symmetry_space_group_name_H-M 'P m -3 m'
_symmetry_Int_Tables_number 221
_symmetry_space_group_name_Hall '-P 4 2 3'
loop_
_atom_site_label
_atom_site_type_symbol
_atom_site_fract_x
_atom_site_fract_y
_atom_site_fract_z
_atom_site_occupancy
Sr1 Sr 0.000 0.000 0.000 1
P1 P 0.000 0.000 0.500 1
Ru1 Ru 0.500 0.500 0.500 1
```

Output
**ΔE_f**: 2.163 eV per atom
**Polymorph energy (0 for the lowest one)**: 2213.4 meV per atom
**Volume**: 138 Å³/cell



Entry 4:
This record from Alexandria via LeMat-Bulk describes Cs2TcHCl6 after structural relaxation. The functional is PBE.

The structure in CIF format:
```
data_Cs2TcHCl6
_chemical_formula_sum 'Cs4 Tc2 H2 Cl12'
_cell_length_a 7.540
_cell_length_b 7.540
_cell_length_c 10.685
_cell_angle_alpha 90.00
_cell_angle_beta 90.00
_cell_angle_gamma 90.00
_symmetry_space_group_name_H-M 'I 4/m m m'
_symmetry_Int_Tables_number 139
_symmetry_space_group_name_Hall '-I 4 2'
loop_
_atom_site_label
_atom_site_type_symbol
_atom_site_fract_x
_atom_site_fract_y
_atom_site_fract_z
_atom_site_occupancy
Cs1 Cs 0.000 0.500 0.250 1
Tc1 Tc 0.000 0.000 0.000 1
H1 H 0.000 0.000 0.500 1
Cl1 Cl 0.000 0.000 0.223 1
Cl2 Cl 0.223 0.223 0.000 1
```

Output
**Volume**: 607 Å³/cell



Entry 5:
This record from Alexandria via LeMat-Bulk describes TbYTlSe after structural relaxation. The functional is PBE.

The structure in CIF format:
```
data_TbYTlSe
_chemical_formula_sum 'Tb2 Y2 Tl2 Se2'
_cell_length_a 6.758
_cell_length_b 3.905
_cell_length_c 8.576
_cell_angle_alpha 90.00
_cell_angle_beta 105.16
_cell_angle_gamma 90.00
_symmetry_space_group_name_H-M 'C 1 m 1'
_symmetry_Int_Tables_number 8
_symmetry_space_group_name_Hall 'C -2y'
loop_
_atom_site_label
_atom_site_type_symbol
_atom_site_fract_x
_atom_site_fract_y
_atom_site_fract_z
_atom_site_occupancy
Tb1 Tb 0.000 0.000 0.000 1
Y1 Y 0.192 0.000 0.577 1
Tl1 Tl 0.263 0.500 0.290 1
Se1 Se 0.095 0.500 0.785 1
```

Output
**Volume**: 218 Å³/cell



Entry 6:
This record from Alexandria via LeMat-Bulk describes ZnTe2Ir after structural relaxation. The functional is PBE.

The structure in CIF format:
```
data_ZnTe2Ir
_chemical_formula_sum 'Zn2 Te4 Ir2'
_cell_length_a 4.390
_cell_length_b 4.390
_cell_length_c 8.531
_cell_angle_alpha 90.00
_cell_angle_beta 90.00
_cell_angle_gamma 90.00
_symmetry_space_group_name_H-M 'I -4 m 2'
_symmetry_Int_Tables_number 119
_symmetry_space_group_name_Hall 'I -4 -2'
loop_
_atom_site_label
_atom_site_type_symbol
_atom_site_fract_x
_atom_site_fract_y
_atom_site_fract_z
_atom_site_occupancy
Zn1 Zn 0.000 0.000 0.000 1
Te1 Te 0.000 0.000 0.500 1
Te2 Te 0.000 0.500 0.250 1
Ir1 Ir 0.000 0.500 0.750 1
```

Output
**Volume**: 164 Å³/cell



| no. | uncorrected energy (eV/atom) | DOS at the Fermi energy (states/eV/cell) |
| --- | --- | --- |
| 1 | -5.2277 | 10.4 |
| 2 | -6.8291 | 0.0 |
| 3 | -3.2743 | 6.5 |
| 4 | -3.6774 | 0.0 |
| 5 | -5.2592 | 6.2 |
| 6 | -3.5689 | 4.0 |